(1)
A relaxed Li6Pd5Pb crystal. Source: Alexandria, functional GGA-PBE.

The energy above the most stable polymorph in this dataset comes out at 0 meV per atom. The formation energy is -0.419 eV per atom.

abc: 4.303 6.239 7.429
angles: 114.83 106.84 90.00
Atoms (fractional coordinates):
Li 0.176 0.441 0.351
Li 0.824 0.090 0.649
Li 0.824 0.559 0.649
Li 0.500 0.719 0.000
Li 0.176 0.910 0.351
Li 0.500 0.281 0.000
Pd 0.000 0.500 0.000
Pd 0.330 0.330 0.660
Pd 0.659 0.159 0.318
Pd 0.670 0.670 0.340
Pd 0.341 0.841 0.682
Pb 0.000 0.000 0.000

---

(2)
A relaxed Dy4TlHg2Pd crystal. Source: Alexandria, functional GGA-PBE.

The formation energy is -0.538 eV per atom.

abc: 5.220 5.220 9.003
angles: 73.15 73.15 60.00
Atoms (fractional coordinates):
Pd 0.500 0.500 0.500
Dy 0.618 0.618 0.147
Dy 0.870 0.870 0.391
Dy 0.382 0.382 0.853
Dy 0.130 0.130 0.609
Hg 0.746 0.746 0.763
Hg 0.254 0.254 0.237
Tl 0.000 0.000 0.000

---

(3)
A relaxed CoCuPt crystal. Source: Alexandria, functional GGA-PBE.

The energy above the most stable polymorph in this dataset comes out at 228 meV per atom. The formation energy is 0.142 eV per atom.

abc: 3.754 4.264 6.070
angles: 74.68 90.00 116.11
Each line ends with the local moment (μB).
Atoms (fractional coordinates):
Co 0.084 0.168 0.307  1.80
Co 0.916 0.832 0.693  1.80
Pt 0.813 0.627 0.134  0.36
Pt 0.187 0.373 0.866  0.36
Cu 0.632 0.264 0.582  0.07
Cu 0.368 0.736 0.418  0.07

---

(4)
A relaxed PuSc2Ag crystal. Source: Alexandria, functional GGA-PBE.

The energy above the most stable polymorph in this dataset comes out at 0 meV per atom. The formation energy is -0.049 eV per atom.

abc: 3.344 3.344 8.025
angles: 90.00 90.00 90.00
Each line ends with the local moment (μB).
Atoms (fractional coordinates):
Pu 0.500 0.500 0.500  5.30
Ag 0.500 0.500 0.000  0.00
Sc 0.000 0.000 0.778  0.09
Sc 0.000 0.000 0.222  0.09

---

(5)
A relaxed AlTl2CoRu crystal. Source: Alexandria, functional GGA-PBE.

The formation energy is 0.852 eV per atom.

abc: 5.226 4.668 5.226
angles: 90.00 90.00 90.00
Each line ends with the local moment (μB).
Atoms (fractional coordinates):
Ru 0.000 0.000 0.000  0.10
Tl 0.000 0.000 0.500  0.00
Tl 0.500 0.000 0.000  0.02
Co 0.500 0.500 0.500  2.21
Al 0.000 0.500 0.000  0.01

---

(6)
A relaxed LaTbAl2 crystal. Source: Alexandria, functional GGA-PBE.

The energy above the most stable polymorph in this dataset comes out at 0 meV per atom. The formation energy is -0.383 eV per atom.

abc: 3.711 3.711 7.407
angles: 90.00 90.00 90.00
Atoms (fractional coordinates):
Tb 0.500 0.500 0.000
Al 0.000 0.000 0.771
Al 0.000 0.000 0.229
La 0.500 0.500 0.500

---

(7)
A relaxed Fe5Ni5Rh2 crystal. Source: Alexandria, functional GGA-PBE.

The formation energy is -0.027 eV per atom.

abc: 3.686 7.562 5.812
angles: 71.64 71.51 75.89
Each line ends with the local moment (μB).
Atoms (fractional coordinates):
Fe 0.082 0.243 0.593  2.81
Fe 0.000 0.000 0.000  2.62
Fe 0.757 0.240 0.247  2.81
Fe 0.243 0.760 0.753  2.81
Fe 0.918 0.757 0.407  2.81
Ni 0.332 0.999 0.337  0.74
Ni 0.668 0.001 0.663  0.74
Ni 0.423 0.241 0.914  0.72
Ni 0.577 0.759 0.086  0.72
Ni 0.500 0.500 0.500  0.63
Rh 0.164 0.494 0.177  0.53
Rh 0.836 0.506 0.823  0.53

---

(8)
A relaxed CaNbCl2 crystal. Source: Alexandria, functional GGA-PBE.

Its uncorrected formation energy is -62.8 kJ per mole of atoms. The energy above the most stable polymorph in this dataset comes out at 0 meV per atom.

abc: 9.096 9.096 9.096
angles: 21.28 21.28 21.28
Each line ends with the local moment (μB).
Atoms (fractional coordinates):
Cl 0.905 0.905 0.905  0.00
Cl 0.095 0.095 0.095  0.00
Ca 0.500 0.500 0.500  0.12
Nb 0.000 0.000 0.000  0.25

---

(9)
A relaxed NbGaH crystal. Source: Alexandria, functional GGA-PBE.

The energy above the most stable polymorph in this dataset comes out at 100 meV per atom.

abc: 2.879 5.170 5.367
angles: 90.00 105.56 90.00
Atoms (fractional coordinates):
Ga 0.049 0.053 0.098
Ga 0.951 0.553 0.902
Nb 0.682 0.673 0.363
Nb 0.318 0.173 0.637
H 0.178 0.411 0.355
H 0.822 0.911 0.645

---

(10)
A relaxed LaTaW2 crystal. Source: Alexandria, functional GGA-PBE.

The energy above the most stable polymorph in this dataset comes out at 151 meV per atom. The formation energy is 0.531 eV per atom.

abc: 4.375 2.906 6.714
angles: 77.45 90.00 90.00
Atoms (fractional coordinates):
W 0.500 0.221 0.190
W 0.000 0.011 0.009
Ta 0.500 0.778 0.808
La 0.000 0.491 0.493

---

(11)
A relaxed AcLuGaGe crystal. Source: Alexandria, functional GGA-PBE.

The formation energy is -0.472 eV per atom.

abc: 5.264 5.264 5.264
angles: 60.00 60.00 60.00
Atoms (fractional coordinates):
Lu 0.000 0.000 0.000
Ac 0.500 0.500 0.500
Ge 0.250 0.250 0.250
Ga 0.750 0.750 0.750

---

(12)
A relaxed Tl3Ni crystal. Source: Alexandria, functional GGA-PBE.

The formation energy is 0.428 eV per atom.

abc: 5.186 5.186 5.186
angles: 60.00 60.00 60.00
Atoms (fractional coordinates):
Ni 0.000 0.000 0.000
Tl 0.750 0.750 0.750
Tl 0.500 0.500 0.500
Tl 0.250 0.250 0.250

---

(13)
A relaxed Pr2Sn5 crystal. Source: Alexandria, functional GGA-PBE.

The formation energy is -0.582 eV per atom.

abc: 18.198 18.198 4.667
angles: 90.00 90.00 165.41
Atoms (fractional coordinates):
Sn 0.427 0.573 0.000
Sn 0.278 0.722 0.000
Sn 0.139 0.861 0.000
Sn 0.000 0.000 0.000
Sn 0.361 0.639 0.500
Sn 0.639 0.361 0.500
Sn 0.722 0.278 0.000
Sn 0.861 0.139 0.000
Sn 0.500 0.500 0.500
Sn 0.573 0.427 0.000
Pr 0.796 0.204 0.500
Pr 0.931 0.069 0.500
Pr 0.204 0.796 0.500
Pr 0.069 0.931 0.500

---

(14)
A relaxed NiTeWN2 crystal. Source: Alexandria, functional GGA-PBE.

Its uncorrected formation energy is 55.0 kJ per mole of atoms. The energy above the most stable polymorph in this dataset comes out at 0 meV per atom.

abc: 3.868 3.868 5.770
angles: 90.00 90.00 90.00
Each line ends with the local moment (μB).
Atoms (fractional coordinates):
N 0.000 0.500 0.000  0.06
N 0.500 0.000 0.000  0.06
W 0.000 0.000 0.000  -0.02
Ni 0.500 0.500 0.500  0.67
Te 0.000 0.000 0.500  0.03

---

(15)
A relaxed Dy6TeP2Se3 crystal. Source: Alexandria, functional GGA-PBE.

Its uncorrected formation energy is -163.2 kJ per mole of atoms.

abc: 4.080 8.272 9.180
angles: 102.66 102.84 90.00
Atoms (fractional coordinates):
Dy 0.988 0.725 0.976
Dy 0.324 0.886 0.648
Dy 0.676 0.114 0.352
Dy 0.327 0.428 0.654
Dy 0.012 0.275 0.024
Dy 0.673 0.572 0.346
Se 0.500 0.500 0.000
Se 0.839 0.164 0.678
Se 0.161 0.836 0.322
Te 0.500 0.000 0.000
P 0.831 0.663 0.662
P 0.169 0.337 0.338

---

(16)
A relaxed KCeMg14 crystal. Source: Alexandria, functional GGA-PBE.

The formation energy is 0.108 eV per atom.

abc: 6.707 6.707 10.511
angles: 90.00 90.00 120.00
Each line ends with the local moment (μB).
Atoms (fractional coordinates):
Mg 0.010 0.505 0.500  0.00
Mg 0.654 0.827 0.745  0.00
Mg 0.667 0.333 0.745  0.00
Mg 0.173 0.827 0.255  0.00
Mg 0.495 0.505 0.500  0.00
Mg 0.497 0.503 0.000  0.00
Mg 0.654 0.827 0.255  0.00
Mg 0.497 0.993 0.000  0.00
Mg 0.495 0.990 0.500  0.00
Mg 0.173 0.346 0.255  0.00
Mg 0.173 0.827 0.745  0.00
Mg 0.667 0.333 0.255  0.00
Mg 0.007 0.503 0.000  0.00
Mg 0.173 0.346 0.745  0.00
Ce 0.000 0.000 0.500  0.88
K 0.000 0.000 0.000  0.00

---

(17)
A relaxed K3LaMo crystal. Source: Alexandria, functional GGA-PBE.

The energy above the most stable polymorph in this dataset comes out at 341 meV per atom. The formation energy is 1.839 eV per atom.

abc: 6.831 6.831 6.831
angles: 90.00 90.00 90.00
Each line ends with the local moment (μB).
Atoms (fractional coordinates):
K 0.000 0.500 0.000  -0.05
K 0.500 0.000 0.000  -0.04
K 0.000 0.000 0.500  -0.06
Mo 0.500 0.500 0.500  4.03
La 0.000 0.000 0.000  -1.10

---

(18)
A relaxed TcPBr3 crystal. Source: Alexandria, functional GGA-PBE.

Its uncorrected formation energy is 86.0 kJ per mole of atoms. The energy above the most stable polymorph in this dataset comes out at 98 meV per atom.

abc: 5.169 5.169 5.169
angles: 90.00 90.00 90.00
Each line ends with the local moment (μB).
Atoms (fractional coordinates):
Br 0.000 0.000 0.500  0.03
Br 0.500 0.000 0.000  0.06
Br 0.000 0.500 0.000  0.05
P 0.000 0.000 0.000  0.02
Tc 0.500 0.500 0.500  3.97

---

(19)
A relaxed BaLi2Eu crystal. Source: Alexandria, functional GGA-PBE.

The energy above the most stable polymorph in this dataset comes out at 6 meV per atom. The formation energy is 0.068 eV per atom.

abc: 6.000 6.000 6.000
angles: 60.00 60.00 60.00
Each line ends with the local moment (μB).
Atoms (fractional coordinates):
Li 0.750 0.750 0.750  0.02
Li 0.250 0.250 0.250  0.02
Ba 0.000 0.000 0.000  0.06
Eu 0.500 0.500 0.500  6.98

---

(20)
A relaxed MgIn2Rh4 crystal. Source: Alexandria, functional GGA-PBE.

The formation energy is -0.103 eV per atom.

abc: 5.427 5.427 5.427
angles: 107.49 110.47 110.47
Atoms (fractional coordinates):
Rh 0.500 0.000 0.000
Rh 0.500 0.500 0.500
Rh 0.000 0.500 0.000
Rh 0.000 0.000 0.500
In 0.500 0.500 0.000
In 0.500 0.000 0.500
Mg 0.000 0.000 0.000

---

(21)
A relaxed ReSiAu2 crystal. Source: Alexandria, functional GGA-PBE.

Its uncorrected formation energy is 45.1 kJ per mole of atoms.

abc: 3.855 3.855 4.301
angles: 90.00 90.00 90.00
Atoms (fractional coordinates):
Au 0.000 0.000 0.000
Au 0.500 0.500 0.000
Si 0.000 0.500 0.500
Re 0.500 0.000 0.500

---

(22)
A relaxed HoMg2Cd2Hg2 crystal. Source: Alexandria, functional GGA-PBE.

The formation energy is -0.202 eV per atom.

abc: 4.896 4.896 8.211
angles: 72.65 72.65 60.00
Atoms (fractional coordinates):
Cd 0.425 0.425 0.726
Cd 0.575 0.575 0.274
Hg 0.728 0.728 0.815
Hg 0.272 0.272 0.185
Ho 0.000 0.000 0.000
Mg 0.140 0.140 0.580
Mg 0.860 0.860 0.420

---

(23)
A relaxed LaH8PdRh2 crystal. Source: Alexandria, functional GGA-PBE.

abc: 4.846 4.846 6.176
angles: 66.90 66.90 60.00
Atoms (fractional coordinates):
Rh 0.295 0.295 0.115
Rh 0.705 0.705 0.885
H 0.192 0.192 0.423
H 0.329 0.913 0.133
H 0.375 0.671 0.867
H 0.808 0.808 0.577
H 0.671 0.087 0.867
H 0.087 0.375 0.867
H 0.625 0.329 0.133
H 0.913 0.625 0.133
La 0.500 0.500 0.500
Pd 0.000 0.000 0.000

---

(24)
A relaxed Tl4ZnCl6 crystal. Source: Alexandria, functional GGA-PBE.

Its uncorrected formation energy is -101.3 kJ per mole of atoms.

abc: 8.333 8.990 13.186
angles: 75.85 71.58 62.39
Atoms (fractional coordinates):
Tl 0.074 0.460 0.162
Tl 0.712 0.261 0.477
Tl 0.304 0.960 0.662
Tl 0.243 0.776 0.306
Tl 0.675 0.276 0.806
Tl 0.991 0.644 0.655
Tl 0.550 0.761 0.977
Tl 0.710 0.144 0.155
Cl 0.438 0.674 0.501
Cl 0.987 0.549 0.923
Cl 0.542 0.049 0.423
Cl 0.657 0.780 0.215
Cl 0.430 0.513 0.143
Cl 0.388 0.174 0.001
Cl 0.605 0.655 0.762
Cl 0.943 0.600 0.419
Cl 0.977 0.155 0.262
Cl 0.037 0.100 0.919
Cl 0.914 0.013 0.643
Cl 0.348 0.280 0.715
Zn 0.653 0.774 0.392
Zn 0.181 0.274 0.892

---

(25)
A relaxed PmTm2PuBi4 crystal. Source: Alexandria, functional GGA-PBE.

The formation energy is -0.701 eV per atom.

abc: 4.503 7.781 7.797
angles: 70.54 90.00 90.00
Each line ends with the local moment (μB).
Atoms (fractional coordinates):
Tm 0.500 0.000 0.500  -0.08
Tm 0.000 0.000 0.000  -0.02
Bi 0.000 0.758 0.749  -0.08
Bi 0.000 0.242 0.251  -0.08
Bi 0.500 0.759 0.245  -0.04
Bi 0.500 0.241 0.755  -0.04
Pu 0.500 0.500 0.000  5.31
Pm 0.000 0.500 0.500  0.00

---

| no. | DFT total energy (eV per atom) |
| --- | --- |
| 1 | -3.849 |
| 2 | -3.860 |
| 3 | -5.606 |
| 4 | -7.511 |
| 5 | -4.119 |
| 6 | -4.644 |
| 7 | -7.187 |
| 8 | -4.592 |
| 9 | -5.622 |
| 10 | -10.140 |
| 11 | -4.541 |
| 12 | -2.792 |
| 13 | -4.806 |
| 14 | -7.135 |
| 15 | -6.028 |
| 16 | -1.727 |
| 17 | -1.971 |
| 18 | -3.268 |
| 19 | -3.939 |
| 20 | -5.314 |
| 21 | -5.639 |
| 22 | -1.659 |
| 23 | -4.570 |
| 24 | -3.034 |
| 25 | -6.145 |